Record 1
K4Sm3AlSe8 PBE relaxed; mass density = 4.46 Mg/m³; raw formation energy = -1.524 eV/atom
1.0
-7.026 2.806 3.675
-1.169 -8.109 3.956
7.305 3.957 1.319
Se K Al Sm
8 4 1 3
Direct
0.242 0.302 0.022
0.779 0.301 0.559
0.780 0.302 0.022
0.737 0.712 0.474
0.758 0.698 0.978
0.220 0.698 0.978
0.263 0.288 0.526
0.221 0.699 0.441
0.500 0.000 0.500
0.000 0.000 0.000
0.500 0.000 0.000
0.000 0.000 0.500
0.000 0.500 0.000
0.500 0.500 0.500
0.000 0.500 0.500
0.500 0.500 0.000

Record 2
K3Sm3AlSe8 PBE relaxed; mass density = 4.31 Mg/m³; N(E_F) = 12.04 states/eV/cell; raw formation energy = -1.446 eV/atom
1.0
-3.028 -2.993 -7.129
-0.469 -4.540 6.941
-5.721 7.253 -0.614
Se Sm K Al
8 3 3 1
Direct
0.761 0.977 0.692
0.239 0.023 0.308
0.784 0.023 0.308
0.785 0.569 0.308
0.216 0.977 0.692
0.215 0.431 0.692
0.737 0.474 0.711
0.263 0.526 0.289
0.500 0.000 0.500
0.500 0.500 0.500
0.000 0.500 0.500
0.000 0.500 0.000
0.000 0.000 0.000
0.500 0.500 0.000
0.000 0.000 0.500

Record 3
K3Sm2AlSe6 PBE relaxed; mass density = 4.39 Mg/m³; N(E_F) = 0.00 states/eV/cell; raw formation energy = -1.463 eV/atom
1.0
7.227 -0.004 -0.005
-3.615 6.258 -0.005
-1.210 -2.095 7.684
Se K Al Sm
6 3 1 2
Direct
0.237 0.237 0.801
0.763 0.763 0.199
0.066 0.372 0.199
0.934 0.628 0.801
0.372 0.066 0.199
0.628 0.934 0.801
0.828 0.172 0.500
0.172 0.828 0.500
0.500 0.500 0.500
0.000 0.000 0.000
0.666 0.334 0.000
0.334 0.666 0.000

Record 4
KAl2SnSe6 PBE relaxed; mass density = 3.50 Mg/m³; N(E_F) = 8.66 states/eV/cell; raw formation energy = -0.620 eV/atom
1.0
-2.021 5.498 -5.649
-6.966 -3.279 -5.802
-6.454 6.325 3.361
Al K Se Sn
4 2 12 2
Direct
0.916 0.608 0.757
0.416 0.757 0.608
0.584 0.243 0.392
0.084 0.392 0.243
0.750 0.162 0.838
0.250 0.838 0.162
0.318 0.422 0.344
0.322 0.178 0.075
0.068 0.612 0.114
0.682 0.578 0.656
0.678 0.822 0.925
0.822 0.075 0.178
0.818 0.344 0.422
0.432 0.886 0.388
0.178 0.925 0.822
0.182 0.656 0.578
0.568 0.114 0.612
0.932 0.388 0.886
0.750 0.832 0.168
0.250 0.168 0.832

Record 5
KAlSn2Se6 PBE relaxed; mass density = 3.52 Mg/m³; raw formation energy = -0.542 eV/atom
1.0
-1.335 -7.218 2.620
7.344 -6.067 -3.718
3.906 -0.660 9.428
Se K Sn Al
12 2 4 2
Direct
0.294 0.188 0.015
0.794 0.015 0.188
0.075 0.701 0.579
0.561 0.188 0.637
0.439 0.812 0.363
0.425 0.421 0.299
0.206 0.985 0.812
0.925 0.299 0.421
0.575 0.579 0.701
0.706 0.812 0.985
0.939 0.363 0.812
0.061 0.637 0.188
0.250 0.884 0.116
0.750 0.116 0.884
0.650 0.223 0.379
0.850 0.621 0.777
0.150 0.379 0.223
0.350 0.777 0.621
0.750 0.788 0.212
0.250 0.212 0.788

Record 6
KSrAlSe3 PBE relaxed; mass density = 3.56 Mg/m³; raw formation energy = -1.182 eV/atom
1.0
-1.591 4.869 0.266
-3.110 -4.098 6.962
8.150 2.528 2.455
K Se Sr Al
2 6 2 2
Direct
0.649 0.299 0.068
0.351 0.701 0.932
0.498 0.996 0.732
0.157 0.313 0.343
0.502 0.004 0.268
0.843 0.687 0.657
0.143 0.286 0.795
0.857 0.714 0.205
0.647 0.295 0.573
0.353 0.705 0.427
0.006 0.013 0.267
0.994 0.987 0.733

Record 7
K2TaAlSe5 PBE relaxed; mass density = 4.25 Mg/m³; N(E_F) = 2.09 states/eV/cell; raw formation energy = -0.968 eV/atom
1.0
3.779 0.000 0.000
-1.889 9.685 0.000
0.000 0.000 14.527
Se Al K Ta
10 2 4 2
Direct
0.719 0.437 0.150
0.490 0.979 0.301
0.301 0.602 0.399
0.345 0.690 0.995
0.072 0.144 0.041
0.510 0.021 0.801
0.655 0.310 0.495
0.699 0.398 0.899
0.281 0.563 0.650
0.928 0.856 0.541
0.426 0.851 0.436
0.574 0.149 0.936
0.873 0.746 0.804
0.127 0.254 0.304
0.105 0.210 0.671
0.895 0.790 0.171
0.776 0.551 0.527
0.224 0.449 0.027

Record 8
K2TbAlSe4 PBE relaxed; mass density = 4.46 Mg/m³; raw formation energy = -1.275 eV/atom
1.0
-1.568 6.937 -4.653
3.506 -3.804 -6.744
-6.357 -3.874 4.472
Se K Al Tb
8 4 2 2
Direct
0.746 0.293 0.520
0.759 0.741 0.951
0.254 0.707 0.480
0.793 0.246 0.020
0.207 0.754 0.980
0.759 0.741 0.549
0.241 0.259 0.049
0.241 0.259 0.451
0.500 0.000 0.500
0.000 0.000 0.500
0.500 0.000 0.000
0.500 0.500 0.000
0.000 0.000 0.000
0.500 0.500 0.500
0.000 0.500 0.500
0.000 0.500 0.000

Record 9
K3Tb3AlSe8 PBE relaxed; mass density = 4.54 Mg/m³; N(E_F) = 10.80 states/eV/cell; raw formation energy = -1.463 eV/atom
1.0
8.168 -0.001 0.000
-4.085 7.081 -0.032
0.000 -4.687 7.951
Se Tb Al K
8 3 1 3
Direct
0.264 0.528 0.293
0.782 0.565 0.308
0.218 0.435 0.692
0.736 0.472 0.707
0.782 0.026 0.308
0.218 0.974 0.692
0.756 0.974 0.692
0.244 0.026 0.308
0.500 0.000 0.500
0.500 0.500 0.500
0.000 0.500 0.500
0.000 0.000 0.500
0.500 0.500 0.000
0.000 0.500 0.000
0.000 0.000 0.000

Record 10
K3Tb2AlSe6 PBE relaxed; mass density = 4.59 Mg/m³; N(E_F) = 0.00 states/eV/cell; raw formation energy = -1.476 eV/atom
1.0
7.143 -0.003 -0.004
-3.573 6.186 -0.004
-1.195 -2.069 7.667
Tb Al Se K
2 1 6 3
Direct
0.666 0.334 0.000
0.334 0.666 0.000
0.000 0.000 0.000
0.066 0.374 0.197
0.242 0.242 0.802
0.374 0.066 0.197
0.934 0.626 0.803
0.626 0.934 0.803
0.758 0.758 0.198
0.500 0.500 0.500
0.828 0.172 0.500
0.172 0.828 0.500

Record 11
KAl2TeSe6 PBE relaxed; mass density = 3.91 Mg/m³; N(E_F) = 7.16 states/eV/cell; raw formation energy = -0.495 eV/atom
1.0
-6.571 -1.652 2.504
2.587 -8.109 3.139
1.267 4.322 7.875
Al Se Te K
4 12 2 2
Direct
0.795 0.601 0.782
0.205 0.399 0.218
0.295 0.782 0.601
0.705 0.218 0.399
0.112 0.002 0.720
0.388 0.280 0.998
0.026 0.294 0.408
0.612 0.720 0.002
0.094 0.624 0.124
0.474 0.592 0.706
0.888 0.998 0.280
0.526 0.408 0.294
0.594 0.124 0.624
0.906 0.376 0.876
0.406 0.876 0.376
0.974 0.706 0.592
0.750 0.732 0.268
0.250 0.268 0.732
0.250 0.945 0.055
0.750 0.055 0.945

Record 12
KThAlSe4 PBE relaxed; mass density = 4.83 Mg/m³; N(E_F) = 0.00 states/eV/cell; raw formation energy = -1.389 eV/atom
1.0
-1.145 3.241 -5.944
-5.891 -3.669 -0.866
-4.032 4.889 6.714
Se Th Al K
8 2 2 2
Direct
0.431 0.750 0.161
0.989 0.009 0.288
0.440 0.750 0.586
0.011 0.509 0.712
0.989 0.491 0.288
0.569 0.250 0.839
0.560 0.250 0.414
0.011 0.991 0.712
0.230 0.250 0.554
0.770 0.750 0.446
0.229 0.750 0.327
0.771 0.250 0.673
0.739 0.750 0.940
0.261 0.250 0.060